No. 1
The following is a DFT calculation (PBE) of a relaxed Ac2AsPt crystal.

a = 3.859 Å, b = 3.859 Å, c = 7.530 Å
α = 90.00°, β = 90.00°, γ = 90.00°
Positions (direct):
Ac 0.000 0.000 0.751
Ac 0.000 0.000 0.249
As 0.500 0.500 0.500
Pt 0.500 0.500 0.000

The value obtained for the energy above the most stable polymorph in this dataset is 0.237 eV per atom. As for the energy of formation: -1.0695 eV/atom.


No. 2
The following is a DFT calculation (PBE) of a relaxed AcAsPt3 crystal.

a = 4.834 Å, b = 4.834 Å, c = 4.834 Å
α = 90.00°, β = 90.00°, γ = 90.00°
Positions (direct):
Ac 0.500 0.500 0.500
As 0.000 0.000 0.000
Pt 0.000 0.500 0.000
Pt 0.000 0.000 0.500
Pt 0.500 0.000 0.000

The value obtained for the energy above the most stable polymorph in this dataset is 0.250 eV per atom. As for the energy of formation: -0.6103 eV/atom.


No. 3
The following is a DFT calculation (PBE) of a relaxed AcAsPt3 crystal.

a = 4.250 Å, b = 4.250 Å, c = 6.409 Å
α = 70.63°, β = 70.63°, γ = 89.92°
Positions (direct):
Ac 0.390 0.193 0.926
As 0.025 0.828 0.656
Pt 0.643 0.947 0.420
Pt 0.143 0.446 0.420
Pt 0.807 0.611 0.090

The value obtained for the energy above the most stable polymorph in this dataset is 0.000 eV per atom. As for the energy of formation: -0.8608 eV/atom.


No. 4
The following is a DFT calculation (PBE) of a relaxed AcAs3Pt3 crystal.

a = 6.893 Å, b = 6.893 Å, c = 6.893 Å
α = 90.00°, β = 90.00°, γ = 90.00°
Positions (direct):
Ac 0.500 0.500 0.500
Ac 0.000 0.000 0.000
As 0.250 0.000 0.500
As 0.000 0.500 0.250
As 0.500 0.750 0.000
As 0.750 0.000 0.500
As 0.000 0.500 0.750
As 0.500 0.250 0.000
Pt 0.000 0.250 0.500
Pt 0.000 0.750 0.500
Pt 0.500 0.000 0.750
Pt 0.750 0.500 0.000
Pt 0.500 0.000 0.250
Pt 0.250 0.500 0.000

As for the energy of formation: -0.6045 eV/atom.


No. 5
The following is a DFT calculation (PBE) of a relaxed AcAsPt4 crystal.

a = 5.505 Å, b = 5.505 Å, c = 5.505 Å
α = 60.00°, β = 60.00°, γ = 60.00°
Positions (direct):
Ac 0.250 0.250 0.250
As 0.000 0.000 0.000
Pt 0.626 0.626 0.123
Pt 0.626 0.123 0.626
Pt 0.626 0.626 0.626
Pt 0.123 0.626 0.626

As for the energy of formation: -0.5404 eV/atom.


No. 6
The following is a DFT calculation (PBE) of a relaxed Ac3As4Pt2 crystal.

a = 4.523 Å, b = 6.388 Å, c = 8.987 Å
α = 104.60°, β = 90.00°, γ = 110.73°
Positions (direct):
Ac 0.670 0.340 0.682
Ac 0.000 0.000 0.000
Ac 0.330 0.660 0.318
As 0.699 0.398 0.090
As 0.301 0.602 0.910
As 0.933 0.866 0.601
As 0.067 0.134 0.399
Pt 0.591 0.183 0.299
Pt 0.409 0.817 0.701

As for the energy of formation: -1.1174 eV/atom.


No. 7
The following is a DFT calculation (PBE) of a relaxed AcPuAs2Pt2 crystal.

a = 4.390 Å, b = 4.390 Å, c = 8.127 Å
α = 90.00°, β = 90.00°, γ = 120.00°
Site moments in Bohr magnetons follow the coordinates.
Positions (direct):
Ac 0.000 0.000 0.000  0.02
Pu 0.000 0.000 0.500  5.17
As 0.667 0.333 0.723  -0.04
As 0.333 0.667 0.277  -0.04
Pt 0.667 0.333 0.260  -0.06
Pt 0.333 0.667 0.740  -0.06

As for the energy of formation: -1.0834 eV/atom.


No. 8
The following is a DFT calculation (PBE) of a relaxed Ac2PuAs4Pt3 crystal.

a = 4.561 Å, b = 4.561 Å, c = 10.864 Å
α = 90.00°, β = 90.00°, γ = 90.00°
Site moments in Bohr magnetons follow the coordinates.
Positions (direct):
Ac 0.500 0.000 0.230  0.05
Ac 0.000 0.500 0.770  0.05
Pu 0.500 0.500 0.500  5.25
As 0.500 0.500 0.000  0.00
As 0.000 0.000 0.000  0.00
As 0.500 0.000 0.656  -0.04
As 0.000 0.500 0.344  -0.04
Pt 0.000 0.000 0.500  -0.04
Pt 0.500 0.000 0.893  0.00
Pt 0.000 0.500 0.107  0.00

As for the energy of formation: -0.9184 eV/atom.


No. 9
The following is a DFT calculation (PBE) of a relaxed Ac2AsPt6Rh crystal.

a = 7.058 Å, b = 6.655 Å, c = 8.720 Å
α = 52.59°, β = 48.49°, γ = 82.59°
Positions (direct):
Ac 0.730 0.270 0.460
Ac 0.270 0.730 0.540
As 0.500 0.500 0.000
Pt 0.237 0.254 0.493
Pt 0.747 0.763 0.984
Pt 0.249 0.750 0.142
Pt 0.751 0.250 0.858
Pt 0.253 0.237 0.016
Pt 0.763 0.746 0.507
Rh 0.000 0.000 0.000

As for the energy of formation: -0.7595 eV/atom.


No. 10
The following is a DFT calculation (PBE) of a relaxed Ac6AsPt2S3 crystal.

a = 4.355 Å, b = 8.990 Å, c = 9.947 Å
α = 104.52°, β = 102.64°, γ = 90.00°
Positions (direct):
Ac 0.331 0.906 0.663
Ac 0.670 0.578 0.340
Ac 0.669 0.094 0.337
Ac 0.003 0.254 0.006
Ac 0.997 0.746 0.994
Ac 0.330 0.422 0.660
As 0.500 0.000 0.000
Pt 0.832 0.664 0.664
Pt 0.168 0.336 0.336
S 0.500 0.500 0.000
S 0.840 0.162 0.679
S 0.160 0.838 0.321

As for the formation energy without anion corrections: -1.602 eV per atom.


No. 11
The following is a DFT calculation (PBE) of a relaxed Ac6As2PtS3 crystal.

a = 4.409 Å, b = 8.890 Å, c = 9.863 Å
α = 102.46°, β = 102.92°, γ = 90.00°
Positions (direct):
Ac 0.334 0.917 0.669
Ac 0.667 0.585 0.334
Ac 0.666 0.083 0.331
Ac 0.999 0.245 0.997
Ac 0.001 0.755 0.003
Ac 0.333 0.415 0.666
As 0.834 0.665 0.668
As 0.166 0.335 0.332
Pt 0.500 0.000 0.000
S 0.500 0.500 0.000
S 0.830 0.165 0.661
S 0.170 0.835 0.339

As for the formation energy without anion corrections: -1.677 eV per atom.


No. 12
The following is a DFT calculation (PBE) of a relaxed Ac8As3PtS4 crystal.

a = 8.881 Å, b = 8.825 Å, c = 8.881 Å
α = 120.21°, β = 120.00°, γ = 90.00°
Positions (direct):
Ac 0.249 0.750 0.001
Ac 0.249 0.750 0.498
Ac 0.249 0.247 0.498
Ac 0.753 0.750 0.001
Ac 0.247 0.250 0.999
Ac 0.751 0.753 0.502
Ac 0.751 0.250 0.502
Ac 0.751 0.250 0.999
As 0.500 0.500 0.000
As 0.500 0.500 0.500
As 0.000 0.500 0.500
Pt 0.000 0.500 0.000
S 0.500 0.000 0.000
S 0.500 0.000 0.500
S 0.000 0.000 0.000
S 0.000 0.000 0.500

As for the formation energy without anion corrections: -1.695 eV per atom.